Crystalline Fe2SbP at its relaxed geometry. Source: the Alexandria database, functional PBE-GGA.

The structure in POSCAR format:
```
Fe2SbP
1.0
-4.519 -2.632 1.184
-0.585 -1.320 -5.164
0.180 -6.308 -1.192
P Sb Fe
2 2 4
Cartesian
-2.552 -1.976 -1.990 P
-1.479 -4.802 -4.173 P
0.000 0.000 0.000 Sb
-3.446 -5.458 -0.999 Sb
-1.139 -2.878 -3.311 Fe
-4.299 -8.115 -4.087 Fe
-1.812 -6.287 -2.676 Fe
-2.600 -3.239 -0.270 Fe
```

The value obtained for the magnetization is 0.0000 μB/atom. For the uncorrected formation energy, the calculation gives 0.305 eV/atom.

---

Crystalline FeSb2P at its relaxed geometry. Source: the Alexandria database, functional PBE-GGA.

The structure in POSCAR format:
```
FeSb2P
1.0
4.019 0.010 -0.001
2.522 3.129 -0.001
1.136 0.545 6.697
Sb P Fe
2 1 1
Cartesian
7.469 3.584 6.120 Sb
1.840 0.883 2.333 Sb
5.930 2.845 4.293 P
3.954 1.897 3.992 Fe
```

The value obtained for the magnetization is 0.0000 μB/atom. For the uncorrected formation energy, the calculation gives 0.041 eV/atom.

---

Crystalline FeSb2P at its relaxed geometry. Source: the Alexandria database, functional PBE-GGA.

The structure in POSCAR format:
```
FeSb2P
1.0
-1.516 -2.368 -1.652
-0.994 -1.320 2.805
-6.803 2.561 2.574
Sb P Fe
2 1 1
Cartesian
-3.758 0.529 2.691 Sb
-1.135 -1.229 2.803 Sb
-6.606 -0.253 3.208 P
-2.708 -0.874 0.519 Fe
```

The value obtained for the magnetization is 0.3356 μB/atom. For the uncorrected formation energy, the calculation gives 0.429 eV/atom.

---

Crystalline FeSbP2 at its relaxed geometry. Source: the Alexandria database, functional PBE-GGA.

The structure in POSCAR format:
```
FeSbP2
1.0
-3.179 1.891 -3.502
-3.050 -3.830 -1.404
1.321 2.921 3.958
Sb P Fe
1 2 1
Cartesian
-3.171 -0.987 -2.497 Sb
-2.735 1.844 -1.194 P
-6.199 -1.930 -4.883 P
-2.146 -0.854 0.268 Fe
```

The value obtained for the magnetization is 0.6644 μB/atom. For the uncorrected formation energy, the calculation gives 0.500 eV/atom.

---

Crystalline FeSb2P at its relaxed geometry. Source: the Alexandria database, functional PBE-GGA.

The structure in POSCAR format:
```
FeSb2P
1.0
-0.179 -1.415 3.814
0.969 -4.153 -1.495
4.454 -0.765 -0.075
Sb P Fe
2 1 1
Cartesian
5.137 -4.659 -1.487 Sb
1.652 -2.287 1.403 Sb
3.611 -4.063 0.836 P
2.979 -2.702 -0.863 Fe
```

The value obtained for the magnetization is 0.0002 μB/atom. For the uncorrected formation energy, the calculation gives 0.143 eV/atom.

---

Crystalline FeSb2P at its relaxed geometry. Source: the Alexandria database, functional PBE-GGA.

The structure in POSCAR format:
```
FeSb2P
1.0
4.850 0.000 0.000
2.425 4.200 0.000
2.425 1.400 3.960
Sb Fe P
2 1 1
Cartesian
2.425 1.400 0.990 Sb
0.000 0.000 0.000 Sb
4.850 2.800 1.980 Fe
7.275 4.200 2.970 P
```

The value obtained for the magnetization is 0.6022 μB/atom. For the uncorrected formation energy, the calculation gives 0.669 eV/atom.

---

Crystalline Fe2SbP at its relaxed geometry. Source: the Alexandria database, functional PBE-GGA.

The structure in POSCAR format:
```
Fe2SbP
1.0
2.966 0.002 0.000
-0.003 2.966 0.000
0.000 0.000 6.470
Fe Sb P
2 1 1
Cartesian
0.000 0.000 0.409 Fe
0.000 0.000 2.826 Fe
1.481 1.484 4.853 Sb
1.481 1.484 1.618 P
```

The value obtained for the magnetization is 0.7526 μB/atom. For the uncorrected formation energy, the calculation gives 0.130 eV/atom.

---

Crystalline Fe2SbP at its relaxed geometry. Source: the Alexandria database, functional PBE-GGA.

The structure in POSCAR format:
```
Fe2SbP
1.0
-1.293 -5.234 3.832
0.173 -6.612 -0.031
2.651 5.920 -1.292
Fe Sb P
2 1 1
Cartesian
0.488 -1.678 1.919 Fe
-1.105 -11.681 3.748 Fe
1.080 -3.864 0.467 Sb
-0.612 -6.471 2.076 P
```

The value obtained for the magnetization is 0.6557 μB/atom. For the uncorrected formation energy, the calculation gives -0.063 eV/atom.

---

Crystalline FeSb2P at its relaxed geometry. Source: the Alexandria database, functional PBE-GGA.

The structure in POSCAR format:
```
FeSb2P
1.0
4.949 -0.004 -0.010
-0.715 4.897 -0.010
0.624 0.721 3.295
Fe Sb P
1 2 1
Cartesian
2.786 0.358 1.642 Fe
2.117 2.446 -0.010 Sb
0.000 0.000 0.000 Sb
-0.046 2.809 1.642 P
```

The value obtained for the magnetization is 0.5973 μB/atom. For the uncorrected formation energy, the calculation gives 0.529 eV/atom.

---

Crystalline FeSbP at its relaxed geometry. Source: the Alexandria database, functional PBE-GGA.

The structure in POSCAR format:
```
FeSbP
1.0
6.331 0.006 -0.006
5.634 2.888 -0.016
0.697 0.180 2.876
Sb Fe P
1 1 1
Cartesian
4.786 1.165 1.824 Sb
0.963 0.244 2.808 Fe
7.608 1.844 1.098 P
```

The value obtained for the magnetization is 0.3839 μB/atom. For the uncorrected formation energy, the calculation gives 0.076 eV/atom.

---

Crystalline Fe3SbP at its relaxed geometry. Source: the Alexandria database, functional PBE-GGA.

The structure in POSCAR format:
```
Fe3SbP
1.0
-3.659 0.903 1.965
0.700 -3.159 2.756
2.046 2.696 2.571
P Fe Sb
1 3 1
Cartesian
0.000 0.000 0.000 P
0.350 -1.580 1.378 Fe
-1.830 0.451 0.982 Fe
1.023 1.348 1.286 Fe
-0.457 0.220 3.646 Sb
```

Its relative energy among the computed polymorphs is 0.000 eV per atom. The value obtained for the magnetization is 1.1646 μB/atom. For the uncorrected formation energy, the calculation gives 0.212 eV/atom.

---

Crystalline FeSbP2 at its relaxed geometry. Source: the Alexandria database, functional PBE-GGA.

The structure in POSCAR format:
```
FeSbP2
1.0
4.064 0.000 0.000
0.000 3.702 -0.039
0.000 0.605 5.000
P Fe Sb
2 1 1
Cartesian
0.000 4.153 4.665 P
2.032 1.032 0.603 P
2.032 3.335 4.319 Fe
0.000 2.248 2.816 Sb
```

The value obtained for the magnetization is 0.0000 μB/atom. For the uncorrected formation energy, the calculation gives 0.199 eV/atom.